# PBE-GGA PrTcNO, optimized geometry
data_PrTcNO
_chemical_formula_sum 'Pr2 Tc2 N2 O2'
_space_group_name_H-M_alt 'P 1'
_space_group_IT_number 1
_cell_length_a 4.962
_cell_length_b 4.962
_cell_length_c 4.598
_cell_angle_alpha 90.00
_cell_angle_beta 90.00
_cell_angle_gamma 90.00
loop_
_space_group_symop_operation_xyz
'x,y,z'
loop_
_atom_site_label
_atom_site_type_symbol
_atom_site_fract_x
_atom_site_fract_y
_atom_site_fract_z
N1 N 0.000 0.500 0.498
N2 N 0.500 0.000 0.502
O1 O 0.000 0.000 0.000
O2 O 0.500 0.500 0.000
Pr1 Pr 0.000 0.000 0.500
Pr2 Pr 0.500 0.500 0.500
Tc1 Tc 0.500 0.000 0.001
Tc2 Tc 0.000 0.500 0.999
# - Crystal system: tetragonal
# - Uncorrected energy: -7.80 eV/atom


# PBE-GGA PrTcNO, optimized geometry
data_PrTcNO
_chemical_formula_sum 'Pr2 Tc2 N2 O2'
_space_group_name_H-M_alt 'P 1'
_space_group_IT_number 1
_cell_length_a 3.831
_cell_length_b 5.243
_cell_length_c 5.481
_cell_angle_alpha 90.00
_cell_angle_beta 90.00
_cell_angle_gamma 90.00
loop_
_space_group_symop_operation_xyz
'x,y,z'
loop_
_atom_site_label
_atom_site_type_symbol
_atom_site_fract_x
_atom_site_fract_y
_atom_site_fract_z
N1 N 0.000 0.001 0.327
N2 N 0.000 0.501 0.673
O1 O 0.500 0.252 0.001
O2 O 0.500 0.752 0.999
Pr1 Pr 0.000 0.501 0.208
Pr2 Pr 0.000 0.001 0.792
Tc1 Tc 0.500 0.001 0.323
Tc2 Tc 0.500 0.501 0.677
# - Crystal system: orthorhombic
# - Uncorrected energy: -8.37 eV/atom


# PBE-GGA PrTcNO, optimized geometry
data_PrTcNO
_chemical_formula_sum 'Pr2 Tc2 N2 O2'
_space_group_name_H-M_alt 'P 1'
_space_group_IT_number 1
_cell_length_a 4.067
_cell_length_b 5.242
_cell_length_c 5.468
_cell_angle_alpha 90.00
_cell_angle_beta 90.00
_cell_angle_gamma 90.00
loop_
_space_group_symop_operation_xyz
'x,y,z'
loop_
_atom_site_label
_atom_site_type_symbol
_atom_site_fract_x
_atom_site_fract_y
_atom_site_fract_z
N1 N 0.000 0.509 0.241
N2 N 0.000 0.491 0.741
O1 O 0.500 0.186 0.019
O2 O 0.500 0.814 0.519
Pr1 Pr 0.500 0.257 0.488
Pr2 Pr 0.500 0.743 0.988
Tc1 Tc 0.000 0.749 0.497
Tc2 Tc 0.000 0.251 0.997
# - Crystal system: orthorhombic
# - Uncorrected energy: -8.23 eV/atom


# PBE-GGA PrTcNO, optimized geometry
data_PrTcNO
_chemical_formula_sum 'Pr2 Tc2 N2 O2'
_space_group_name_H-M_alt 'P 1'
_space_group_IT_number 1
_cell_length_a 3.812
_cell_length_b 3.812
_cell_length_c 8.146
_cell_angle_alpha 90.00
_cell_angle_beta 90.00
_cell_angle_gamma 90.00
loop_
_space_group_symop_operation_xyz
'x,y,z'
loop_
_atom_site_label
_atom_site_type_symbol
_atom_site_fract_x
_atom_site_fract_y
_atom_site_fract_z
N1 N 0.750 0.750 0.383
N2 N 0.250 0.250 0.617
O1 O 0.750 0.250 0.000
O2 O 0.250 0.750 0.000
Pr1 Pr 0.250 0.250 0.159
Pr2 Pr 0.750 0.750 0.841
Tc1 Tc 0.750 0.250 0.500
Tc2 Tc 0.250 0.750 0.500
# - Crystal system: tetragonal
# - Uncorrected energy: -8.46 eV/atom


# PBE-GGA PrTcNO, optimized geometry
data_PrTcNO
_chemical_formula_sum 'Pr4 Tc4 N4 O4'
_space_group_name_H-M_alt 'P 1'
_space_group_IT_number 1
_cell_length_a 5.099
_cell_length_b 6.428
_cell_length_c 7.228
_cell_angle_alpha 90.00
_cell_angle_beta 90.00
_cell_angle_gamma 90.00
loop_
_space_group_symop_operation_xyz
'x,y,z'
loop_
_atom_site_label
_atom_site_type_symbol
_atom_site_fract_x
_atom_site_fract_y
_atom_site_fract_z
N1 N 0.504 0.543 0.365
N2 N 0.004 0.957 0.365
N3 N 0.504 0.043 0.635
N4 N 0.004 0.457 0.635
O1 O 0.678 0.110 0.003
O2 O 0.178 0.390 0.003
O3 O 0.678 0.610 0.997
O4 O 0.178 0.890 0.997
Pr1 Pr 0.014 0.567 0.316
Pr2 Pr 0.514 0.933 0.316
Pr3 Pr 0.014 0.067 0.684
Pr4 Pr 0.514 0.433 0.684
Tc1 Tc 0.006 0.137 0.164
Tc2 Tc 0.506 0.363 0.164
Tc3 Tc 0.006 0.637 0.836
Tc4 Tc 0.506 0.863 0.836
# - Crystal system: orthorhombic
# - Uncorrected energy: -8.08 eV/atom


# PBE-GGA PrTcNO, optimized geometry
data_PrTcNO
_chemical_formula_sum 'Pr4 Tc4 N4 O4'
_space_group_name_H-M_alt 'P 1'
_space_group_IT_number 1
_cell_length_a 5.485
_cell_length_b 8.981
_cell_length_c 4.793
_cell_angle_alpha 90.00
_cell_angle_beta 90.00
_cell_angle_gamma 90.00
loop_
_space_group_symop_operation_xyz
'x,y,z'
loop_
_atom_site_label
_atom_site_type_symbol
_atom_site_fract_x
_atom_site_fract_y
_atom_site_fract_z
N1 N 0.891 0.137 0.260
N2 N 0.391 0.863 0.260
N3 N 0.609 0.137 0.760
N4 N 0.109 0.863 0.760
O1 O 0.080 0.407 0.426
O2 O 0.580 0.593 0.426
O3 O 0.420 0.407 0.926
O4 O 0.920 0.593 0.926
Pr1 Pr 0.492 0.338 0.422
Pr2 Pr 0.992 0.662 0.422
Pr3 Pr 0.008 0.338 0.922
Pr4 Pr 0.508 0.662 0.922
Tc1 Tc 0.626 0.009 0.095
Tc2 Tc 0.126 0.991 0.095
Tc3 Tc 0.874 0.009 0.595
Tc4 Tc 0.374 0.991 0.595
# - Crystal system: orthorhombic
# - Uncorrected energy: -8.60 eV/atom